No. 1
# TbYEr2Se6 | Alexandria via LeMat-Bulk | PBE-GGA | relaxed
data_TbYEr2Se6
_cell_length_a 7.6817
_cell_length_b 7.6817
_cell_length_c 7.6817
_cell_angle_alpha 55.74
_cell_angle_beta 55.74
_cell_angle_gamma 55.74
_space_group_name_H-M_alt 'P 1'
_space_group_IT_number 1
_space_group_name_Hall 'P 1'
loop_
_atom_site_label
_atom_site_type_symbol
_atom_site_fract_x
_atom_site_fract_y
_atom_site_fract_z
_atom_site_occupancy
Tb1 Tb 0.0000 0.0000 0.0000 1
Y1 Y 0.4996 0.4996 0.4996 1
Er1 Er 0.3040 0.3040 0.3040 1
Er2 Er 0.8042 0.8042 0.8042 1
Se1 Se 0.0923 0.4074 0.7020 1
Se2 Se 0.2030 0.9063 0.5920 1
Se3 Se 0.4074 0.7020 0.0923 1
Se4 Se 0.5920 0.2030 0.9063 1
Se5 Se 0.7020 0.0923 0.4074 1
Se6 Se 0.9063 0.5920 0.2030 1
# crystal system	trigonal
# energy relative to the elements, uncorrected	-18.53	eV per formula unit


No. 2
# TbY3Er4Se8 | Alexandria via LeMat-Bulk | PBE-GGA | relaxed
data_TbY3Er4Se8
_cell_length_a 8.1362
_cell_length_b 8.1362
_cell_length_c 8.1362
_cell_angle_alpha 59.86
_cell_angle_beta 59.86
_cell_angle_gamma 59.86
_space_group_name_H-M_alt 'P 1'
_space_group_IT_number 1
_space_group_name_Hall 'P 1'
loop_
_atom_site_label
_atom_site_type_symbol
_atom_site_fract_x
_atom_site_fract_y
_atom_site_fract_z
_atom_site_occupancy
Tb1 Tb 0.0000 0.0000 0.0000 1
Y1 Y 0.0000 0.5000 0.5000 1
Y2 Y 0.5000 0.0000 0.5000 1
Y3 Y 0.5000 0.5000 0.0000 1
Er1 Er 0.0000 0.0000 0.5000 1
Er2 Er 0.0000 0.5000 0.0000 1
Er3 Er 0.5000 0.0000 0.0000 1
Er4 Er 0.5000 0.5000 0.5000 1
Se1 Se 0.2483 0.2483 0.2483 1
Se2 Se 0.2484 0.7481 0.7481 1
Se3 Se 0.2519 0.2519 0.7516 1
Se4 Se 0.2519 0.7516 0.2519 1
Se5 Se 0.7481 0.2484 0.7481 1
Se6 Se 0.7481 0.7481 0.2484 1
Se7 Se 0.7516 0.2519 0.2519 1
Se8 Se 0.7517 0.7517 0.7517 1
# crystal system	trigonal
# energy relative to the elements, uncorrected	-27.63	eV per formula unit


No. 3
# Tb2YEr3Se6 | Alexandria via LeMat-Bulk | PBE-GGA | relaxed
data_Tb2YEr3Se6
_cell_length_a 9.0930
_cell_length_b 9.0930
_cell_length_c 8.1696
_cell_angle_alpha 103.44
_cell_angle_beta 103.44
_cell_angle_gamma 25.73
_space_group_name_H-M_alt 'P 1'
_space_group_IT_number 1
_space_group_name_Hall 'P 1'
loop_
_atom_site_label
_atom_site_type_symbol
_atom_site_fract_x
_atom_site_fract_y
_atom_site_fract_z
_atom_site_occupancy
Tb1 Tb 0.1671 0.1671 0.3339 1
Tb2 Tb 0.8329 0.8329 0.6661 1
Y1 Y 0.5000 0.5000 0.0000 1
Er1 Er 0.1670 0.1670 0.8327 1
Er2 Er 0.5000 0.5000 0.5000 1
Er3 Er 0.8330 0.8330 0.1673 1
Se1 Se 0.0013 0.0013 0.7474 1
Se2 Se 0.3324 0.3324 0.9204 1
Se3 Se 0.3348 0.3348 0.4136 1
Se4 Se 0.6652 0.6652 0.5864 1
Se5 Se 0.6676 0.6676 0.0796 1
Se6 Se 0.9987 0.9987 0.2526 1
# crystal system	monoclinic
# energy relative to the elements, uncorrected	-20.79	eV per formula unit